# 1
VASP calculation (GGA-PBE) on a geometry-optimized NiSbAsI2 structure.

abc: 5.577 5.577 5.559
angles: 90.00 90.00 90.00
Each line ends with the local moment (μB).
Atoms (fractional coordinates):
I 0.000 0.500 0.000  0.01
Ni 0.500 0.500 0.500  1.05
Sb 0.000 0.000 0.500  -0.02
As 0.000 0.000 0.000  0.00
I 0.500 0.000 0.000  0.01

Values from the calculation:
Excess energy over the best structure of this formula in the dataset (meV/atom): 457
Crystal system: tetragonal
Formation energy without anion corrections (meV per atom): 981
Total energy (eV per atom): -2.5492

=====

# 2
VASP calculation (GGA-PBE) on a geometry-optimized NiSb2AsI structure.

abc: 5.399 5.399 5.471
angles: 90.00 90.00 90.00
Each line ends with the local moment (μB).
Atoms (fractional coordinates):
Sb 0.500 0.000 0.000  -0.01
I 0.000 0.000 0.500  0.01
Ni 0.500 0.500 0.500  0.80
Sb 0.000 0.500 0.000  -0.01
As 0.000 0.000 0.000  -0.01

Values from the calculation:
Excess energy over the best structure of this formula in the dataset (meV/atom): 606
Crystal system: tetragonal
Formation energy without anion corrections (meV per atom): 1124
Total energy (eV per atom): -2.9209

=====

# 3
VASP calculation (GGA-PBE) on a geometry-optimized NiSb2AsI structure.

abc: 5.018 5.018 5.095
angles: 90.00 90.00 90.00
Atoms (fractional coordinates):
As 0.500 0.500 0.500
I 0.000 0.000 0.500
Ni 0.000 0.000 0.000
Sb 0.000 0.500 0.000
Sb 0.500 0.000 0.000

Values from the calculation:
Excess energy over the best structure of this formula in the dataset (meV/atom): 0
Crystal system: tetragonal
Formation energy without anion corrections (meV per atom): 518
Total energy (eV per atom): -3.5271